Density functional theory data (PBE) for Nd4FeGe8 after structural relaxation.

Geometry as POSCAR:
```
Nd4FeGe8
1.0
4.088 0.000 0.000
0.000 4.261 0.000
0.000 0.000 16.578
Nd Fe Ge
4 1 8
Direct
0.000 0.000 0.000 Nd
0.000 0.500 0.499 Nd
0.500 0.000 0.209 Nd
0.500 0.500 0.708 Nd
0.500 0.500 0.913 Fe
0.000 0.000 0.357 Ge
0.000 0.000 0.653 Ge
0.000 0.500 0.156 Ge
0.000 0.500 0.846 Ge
0.500 0.000 0.553 Ge
0.500 0.000 0.849 Ge
0.500 0.500 0.057 Ge
0.500 0.500 0.351 Ge
```

The value obtained for the density of states at the Fermi level is 7.7 states/eV per cell. The calculation puts the formation energy at -0.58 eV per atom.